<A>
Here is a relaxed BaPd2Pb4 crystal from Alexandria. Energies are from PBE.

Cell: 19.9045 4.9017 7.7224 Å, 90.00 90.00 90.00°
With the nearest neighbours (Å) after each atom.
Atoms (fractional coordinates):
1 Ba 0.1423 0.2500 0.0144  9 Pb 3.47-3.83, 4 Pd 3.67-3.78
2 Ba 0.3577 0.7500 0.5144  9 Pb 3.47-3.83, 4 Pd 3.67-3.78
3 Ba 0.6423 0.2500 0.4856  9 Pb 3.47-3.83, 4 Pd 3.67-3.78
4 Ba 0.8577 0.7500 0.9856  9 Pb 3.47-3.83, 4 Pd 3.67-3.78
5 Pd 0.0357 0.7500 0.2380  5 Pb 2.87-2.99
6 Pd 0.2134 0.2500 0.5298  7 Pb 2.91-3.09
7 Pd 0.2866 0.7500 0.0298  7 Pb 2.91-3.09
8 Pd 0.4643 0.2500 0.7380  5 Pb 2.87-2.99
9 Pd 0.5357 0.7500 0.2620  5 Pb 2.87-2.99
10 Pd 0.7134 0.2500 0.9702  7 Pb 2.91-3.09
11 Pd 0.7866 0.7500 0.4702  7 Pb 2.91-3.09
12 Pd 0.9643 0.2500 0.7620  5 Pb 2.87-2.99
13 Pb 0.0309 0.7500 0.8512  3 Pd 2.87-2.99
14 Pb 0.0675 0.2500 0.4954  4 Pd 2.91-3.22
15 Pb 0.1804 0.7500 0.3208  4 Pd 2.95-3.09, 1 Pb 3.15
16 Pb 0.1947 0.7500 0.7266  3 Pd 2.91-2.97, 1 Pb 3.15
17 Pb 0.3053 0.2500 0.2266  3 Pd 2.91-2.97, 1 Pb 3.15
18 Pb 0.3196 0.2500 0.8208  4 Pd 2.95-3.09, 1 Pb 3.15
19 Pb 0.4325 0.7500 0.9954  4 Pd 2.91-3.22
20 Pb 0.4691 0.2500 0.3512  3 Pd 2.87-2.99
21 Pb 0.5309 0.7500 0.6488  3 Pd 2.87-2.99
22 Pb 0.5675 0.2500 0.0046  4 Pd 2.91-3.22
23 Pb 0.6804 0.7500 0.1792  4 Pd 2.95-3.09, 1 Pb 3.15
24 Pb 0.6947 0.7500 0.7734  3 Pd 2.91-2.97, 1 Pb 3.15
25 Pb 0.8053 0.2500 0.2734  3 Pd 2.91-2.97, 1 Pb 3.15
26 Pb 0.8196 0.2500 0.6792  4 Pd 2.95-3.09, 1 Pb 3.15
27 Pb 0.9325 0.7500 0.5046  4 Pd 2.91-3.22
28 Pb 0.9691 0.2500 0.1488  3 Pd 2.87-2.99

Values from the calculation:
density: 10.39 Mg/m³
symmetry: No. 62

=====

<B>
Here is a relaxed BaPd2Pb4 crystal from Alexandria. Energies are from PBE.

Cell: 5.2998 13.9788 5.3225 Å, 90.00 90.00 90.00°
With the nearest neighbours (Å) after each atom.
Atoms (fractional coordinates):
1 Ba 0.0000 0.0000 0.0000  8 Pb 3.61-3.66, 8 Pd 4.01
2 Ba 0.5000 0.5000 0.0000  8 Pb 3.61-3.66, 8 Pd 4.01
3 Pd 0.0000 0.4004 0.5000  1 Pd 2.78, 4 Pb 2.85-2.89
4 Pd 0.0000 0.5996 0.5000  1 Pd 2.78, 4 Pb 2.85-2.89
5 Pd 0.5000 0.0996 0.5000  1 Pd 2.78, 4 Pb 2.85-2.89
6 Pd 0.5000 0.9004 0.5000  1 Pd 2.78, 4 Pb 2.85-2.89
7 Pb 0.0000 0.1747 0.5000  3 Pd 2.85-3.15
8 Pb 0.0000 0.3196 0.0000  2 Pd 2.89
9 Pb 0.0000 0.6804 0.0000  2 Pd 2.89
10 Pb 0.0000 0.8253 0.5000  3 Pd 2.85-3.15
11 Pb 0.5000 0.1804 0.0000  2 Pd 2.89
12 Pb 0.5000 0.3253 0.5000  3 Pd 2.85-3.15
13 Pb 0.5000 0.6747 0.5000  3 Pd 2.85-3.15
14 Pb 0.5000 0.8196 0.0000  2 Pd 2.89

Values from the calculation:
density: 9.93 Mg/m³
symmetry: No. 65

=====

Q: Which of them is the least stable? A: <B>.

=====

<A>
Here is a relaxed Ba2Pd2Pb3 crystal from Alexandria. Energies are from PBE.

Cell: 11.0058 11.0058 8.0101 Å, 90.00 90.00 154.11°
With the nearest neighbours (Å) after each atom.
Atoms (fractional coordinates):
1 Ba 0.0572 0.9428 0.7500  5 Pb 3.51-3.53
2 Ba 0.1646 0.8354 0.2500  6 Pd 3.29-3.56, 6 Pb 3.47-3.56
3 Ba 0.8354 0.1646 0.7500  6 Pd 3.29-3.56, 6 Pb 3.47-3.56
4 Ba 0.9428 0.0572 0.2500  5 Pb 3.51-3.53
5 Pd 0.2998 0.7002 0.0560  4 Pb 2.95-3.00, 1 Pd 3.11, 1 Ba 3.29
6 Pd 0.2998 0.7002 0.4440  4 Pb 2.95-3.00, 1 Pd 3.11, 1 Ba 3.29
7 Pd 0.7002 0.2998 0.5560  4 Pb 2.95-3.00, 1 Pd 3.11, 1 Ba 3.29
8 Pd 0.7002 0.2998 0.9440  4 Pb 2.95-3.00, 1 Pd 3.11, 1 Ba 3.29
9 Pb 0.2217 0.7783 0.7500  6 Pd 2.95-2.97
10 Pb 0.4324 0.5676 0.5614  1 Pd 3.00, 2 Pb 3.02-3.06
11 Pb 0.4324 0.5676 0.9386  1 Pd 3.00, 2 Pb 3.02-3.06
12 Pb 0.5676 0.4324 0.0614  1 Pd 3.00, 2 Pb 3.02-3.06
13 Pb 0.5676 0.4324 0.4386  1 Pd 3.00, 2 Pb 3.02-3.06
14 Pb 0.7783 0.2217 0.2500  6 Pd 2.95-2.97

Values from the calculation:
density: 8.69 Mg/m³
symmetry: No. 63

=====

<B>
Here is a relaxed Ba2Pd2Pb3 crystal from Alexandria. Energies are from PBE.

Cell: 11.7586 4.6940 8.4456 Å, 90.00 115.76 90.00°
With the nearest neighbours (Å) after each atom.
Atoms (fractional coordinates):
1 Ba 0.1401 0.0000 0.2849  3 Pd 3.26-3.52
2 Ba 0.3599 0.5000 0.7151  3 Pd 3.26-3.52
3 Ba 0.6401 0.5000 0.2849  3 Pd 3.26-3.52
4 Ba 0.8599 0.0000 0.7151  3 Pd 3.26-3.52
5 Pd 0.1409 0.0000 0.7271  5 Pb 2.89-3.03
6 Pd 0.3591 0.5000 0.2729  5 Pb 2.89-3.03
7 Pd 0.6409 0.5000 0.7271  5 Pb 2.89-3.03
8 Pd 0.8591 0.0000 0.2729  5 Pb 2.89-3.03
9 Pb 0.0000 0.5000 0.5000  4 Pd 3.03, 2 Pb 3.35
10 Pb 0.1364 0.5000 0.9402  3 Pd 2.89-2.97
11 Pb 0.3636 0.0000 0.0598  3 Pd 2.89-2.97
12 Pb 0.5000 0.0000 0.5000  4 Pd 3.03, 2 Pb 3.35
13 Pb 0.6364 0.0000 0.9402  3 Pd 2.89-2.97
14 Pb 0.8636 0.5000 0.0598  3 Pd 2.89-2.97

Values from the calculation:
density: 8.77 Mg/m³
symmetry: No. 12

=====

Q: Which of them is the least stable? A: <A>.

=====

<A>
Here is a relaxed BaPd3Pb2 crystal from Alexandria. Energies are from PBE.

Cell: 6.8486 6.8486 6.5600 Å, 90.00 90.00 77.44°
With the nearest neighbours (Å) after each atom.
Atoms (fractional coordinates):
1 Ba 0.1750 0.8250 0.7500  1 Pd 3.16
2 Ba 0.8250 0.1750 0.2500  1 Pd 3.16
3 Pd 0.0529 0.6535 0.2500  1 Pd 2.70, 2 Pb 2.80
4 Pd 0.3465 0.9471 0.2500  1 Pd 2.70, 2 Pb 2.80
5 Pd 0.4557 0.5443 0.2500  2 Pd 2.70, 4 Pb 2.84
6 Pd 0.5443 0.4557 0.7500  2 Pd 2.70, 4 Pb 2.84
7 Pd 0.6535 0.0529 0.7500  1 Pd 2.70, 2 Pb 2.80
8 Pd 0.9471 0.3465 0.7500  1 Pd 2.70, 2 Pb 2.80
9 Pb 0.2861 0.2861 0.0000  4 Pd 2.80-2.84
10 Pb 0.2861 0.2861 0.5000  4 Pd 2.80-2.84
11 Pb 0.7139 0.7139 0.0000  4 Pd 2.80-2.84
12 Pb 0.7139 0.7139 0.5000  4 Pd 2.80-2.84

Values from the calculation:
density: 9.63 Mg/m³
symmetry: No. 63

=====

<B>
Here is a relaxed BaPd3Pb2 crystal from Alexandria. Energies are from PBE.

Cell: 9.1336 9.1336 8.0748 Å, 115.29 115.29 30.91°
With the nearest neighbours (Å) after each atom.
Atoms (fractional coordinates):
1 Ba 0.1560 0.1560 0.2070  4 Pd 3.22-3.55
2 Ba 0.8440 0.8440 0.7930  4 Pd 3.22-3.55
3 Pd 0.0088 0.0088 0.3416  3 Pd 2.71-2.94, 4 Pb 2.73-2.99
4 Pd 0.2999 0.2999 0.0582  4 Pb 2.78-2.99, 3 Pd 2.90-2.93
5 Pd 0.4060 0.4060 0.4585  4 Pb 2.78-3.05, 4 Pd 2.93-3.07
6 Pd 0.5940 0.5940 0.5415  4 Pb 2.78-3.05, 4 Pd 2.93-3.07
7 Pd 0.7001 0.7001 0.9418  4 Pb 2.78-2.99, 3 Pd 2.90-2.93
8 Pd 0.9912 0.9912 0.6584  3 Pd 2.71-2.94, 4 Pb 2.73-2.99
9 Pb 0.1639 0.1639 0.7041  7 Pd 2.78-2.99
10 Pb 0.4739 0.4739 0.1701  5 Pd 2.73-3.05
11 Pb 0.5261 0.5261 0.8299  5 Pd 2.73-3.05
12 Pb 0.8361 0.8361 0.2959  7 Pd 2.78-2.99

Values from the calculation:
density: 9.32 Mg/m³
symmetry: No. 12

=====

Q: Which of them is the least stable? A: <A>.

=====

<A>
Here is a relaxed Ba2PdPb3 crystal from Alexandria. Energies are from PBE.

Cell: 10.0100 10.0027 7.0384 Å, 69.46 69.35 41.18°
With the nearest neighbours (Å) after each atom.
Atoms (fractional coordinates):
1 Ba 0.2500 0.2500 0.2500  8 Pb 3.75-3.76, 4 Pd 3.80
2 Ba 0.2502 0.7498 0.7498  10 Pb 3.75-3.92, 2 Pd 3.83
3 Ba 0.7498 0.2502 0.2502  10 Pb 3.75-3.92, 2 Pd 3.83
4 Ba 0.7500 0.7500 0.7500  8 Pb 3.75-3.76, 4 Pd 3.80
5 Pd 0.1680 0.1680 0.8320  3 Pb 2.73-2.75
6 Pd 0.8320 0.8320 0.1680  3 Pb 2.73-2.75
7 Pb 0.1496 0.6756 0.3244  1 Pd 2.75, 2 Pb 3.03
8 Pb 0.3244 0.8504 0.1496  1 Pd 2.75, 2 Pb 3.03
9 Pb 0.3254 0.3254 0.6746  1 Pd 2.73, 2 Pb 3.03
10 Pb 0.6746 0.6746 0.3254  1 Pd 2.73, 2 Pb 3.03
11 Pb 0.6756 0.1496 0.8504  1 Pd 2.75, 2 Pb 3.03
12 Pb 0.8504 0.3244 0.6756  1 Pd 2.75, 2 Pb 3.03

Values from the calculation:
density: 7.74 Mg/m³
symmetry: No. 69

=====

<B>
Here is a relaxed Ba2PdPb3 crystal from Alexandria. Energies are from PBE.

Cell: 12.2212 5.2859 8.5855 Å, 90.00 134.50 90.00°
With the nearest neighbours (Å) after each atom.
Atoms (fractional coordinates):
1 Ba 0.0000 0.0000 0.0000  7 Pb 3.60-3.69, 3 Pd 3.60-3.93
2 Ba 0.1122 0.0000 0.6058  3 Pd 3.43-3.78, 5 Pb 3.53-3.68
3 Ba 0.5000 0.5000 0.0000  7 Pb 3.60-3.69, 3 Pd 3.60-3.93
4 Ba 0.6122 0.5000 0.6058  3 Pd 3.43-3.78, 5 Pb 3.53-3.68
5 Pd 0.3680 0.0000 0.5568  4 Pb 2.85-2.98
6 Pd 0.8680 0.5000 0.5568  4 Pb 2.85-2.98
7 Pb 0.1813 0.5000 0.9645  1 Pd 2.85
8 Pb 0.2314 0.5000 0.4026  2 Pd 2.90
9 Pb 0.3881 0.0000 0.2306  1 Pd 2.98, 3 Pb 3.24-3.33
10 Pb 0.6813 0.0000 0.9645  1 Pd 2.85
11 Pb 0.7314 0.0000 0.4026  2 Pd 2.90
12 Pb 0.8881 0.5000 0.2306  1 Pd 2.98, 3 Pb 3.24-3.33

Values from the calculation:
density: 8.42 Mg/m³
symmetry: No. 8

=====

Q: Which of them is the least stable? A: <A>.

=====

<A>
Here is a relaxed Ba2TePdPb crystal from Alexandria. Energies are from PBE.

Cell: 6.2400 6.2400 5.1034 Å, 90.00 90.00 90.00°
With the nearest neighbours (Å) after each atom.
Atoms (fractional coordinates):
1 Ba 0.0000 0.5000 0.0000  2 Pd 3.12
2 Ba 0.5000 0.0000 0.0000  2 Pd 3.12
3 Te 0.0000 0.0000 0.5000  8 Ba 4.03, 4 Pb 4.41
4 Pd 0.5000 0.5000 0.0000  2 Pb 2.55
5 Pb 0.5000 0.5000 0.5000  2 Pd 2.55

Values from the calculation:
density: 5.98 Mg/m³
symmetry: No. 123

=====

<B>
Here is a relaxed Ba2TePdPb crystal from Alexandria. Energies are from PBE.

Cell: 6.4865 6.4865 5.9364 Å, 90.00 90.00 90.00°
With the nearest neighbours (Å) after each atom.
Atoms (fractional coordinates):
1 Ba 0.0000 0.5000 0.0000  2 Te 3.24
2 Ba 0.5000 0.0000 0.0000  2 Te 3.24
3 Te 0.0000 0.0000 0.0000  2 Pb 2.97, 4 Ba 3.24
4 Pd 0.5000 0.5000 0.5000  8 Ba 4.40, 4 Pb 4.59
5 Pb 0.0000 0.0000 0.5000  2 Te 2.97

Values from the calculation:
density: 4.76 Mg/m³
symmetry: No. 123

=====

Q: Which of them is the least stable? A: <B>.

=====

<A>
Here is a relaxed Ba2TlPdPb crystal from Alexandria. Energies are from PBE.

Cell: 6.1674 6.1674 5.2372 Å, 90.00 90.00 90.00°
With the nearest neighbours (Å) after each atom.
Atoms (fractional coordinates):
1 Ba 0.0000 0.5000 0.0000  2 Pd 3.08
2 Ba 0.5000 0.0000 0.0000  2 Pd 3.08
3 Tl 0.0000 0.0000 0.5000  8 Ba 4.05, 4 Pb 4.36
4 Pd 0.5000 0.5000 0.0000  2 Pb 2.62
5 Pb 0.5000 0.5000 0.5000  2 Pd 2.62

Values from the calculation:
density: 6.61 Mg/m³
symmetry: No. 123

=====

<B>
Here is a relaxed Ba2TlPdPb crystal from Alexandria. Energies are from PBE.

Cell: 6.0653 6.0653 5.2834 Å, 90.00 90.00 90.00°
With the nearest neighbours (Å) after each atom.
Atoms (fractional coordinates):
1 Ba 0.0000 0.5000 0.0000  2 Pd 3.03
2 Ba 0.5000 0.0000 0.0000  2 Pd 3.03
3 Tl 0.0000 0.0000 0.5000  2 Pd 2.64
4 Pd 0.0000 0.0000 0.0000  2 Tl 2.64
5 Pb 0.5000 0.5000 0.5000  8 Ba 4.02, 4 Tl 4.29

Values from the calculation:
density: 6.77 Mg/m³
symmetry: No. 123

=====

Q: Which of them is the least stable? A: <A>.